1.
This record from Alexandria via LeMat-Bulk describes a relaxed PrNdY4 crystal. The functional is PBE.

- total magnetic moment (μB per atom) = 0.000
- formation energy (eV per formula unit) = 0.4
- ΔE to the lowest computed polymorph (meV per atom) = 60
- E_tot (eV/atom) = -5.835

a = 3.5004 Å, b = 5.7434 Å, c = 9.9494 Å
α = 90.03°, β = 90.06°, γ = 90.09°
Fractional positions:
Pr 0.0000 0.0000 0.0000
Nd 0.0000 0.5000 0.5000
Y 0.5001 0.0001 0.3338
Y 0.4999 0.9999 0.6662
Y 0.5001 0.4999 0.1672
Y 0.4999 0.5001 0.8328



2.
This record from Alexandria via LeMat-Bulk describes a relaxed Sn3SbSe crystal. The functional is PBE.

- total magnetic moment (μB per atom) = 0.000
- raw formation energy (eV per atom) = 0.342
- ΔE to the lowest computed polymorph (meV per atom) = 349
- E_tot (eV/atom) = -3.581

a = 5.5308 Å, b = 5.5308 Å, c = 5.5308 Å
α = 90.00°, β = 90.00°, γ = 90.00°
Fractional positions:
Sn 0.0000 0.0000 0.5000
Sn 0.0000 0.5000 0.0000
Sn 0.5000 0.0000 0.0000
Sb 0.5000 0.5000 0.5000
Se 0.0000 0.0000 0.0000



3.
This record from Alexandria via LeMat-Bulk describes a relaxed CsLiIr3 crystal. The functional is PBE.

- total magnetic moment (μB per atom) = 0.305
- formation energy (eV per formula unit) = 13.9
- ΔE to the lowest computed polymorph (meV per atom) = 1167
- E_tot (eV/atom) = -3.094

a = 5.0438 Å, b = 5.0438 Å, c = 5.0438 Å
α = 90.00°, β = 90.00°, γ = 90.00°
Fractional positions:
Cs 0.0000 0.0000 0.0000
Li 0.5000 0.5000 0.5000
Ir 0.0000 0.0000 0.5000
Ir 0.0000 0.5000 0.0000
Ir 0.5000 0.0000 0.0000



4.
This record from Alexandria via LeMat-Bulk describes a relaxed RuRh2Pb crystal. The functional is PBE.

- total magnetic moment (μB per atom) = 0.000
- formation energy (eV per formula unit) = 1.0
- E_tot (eV/atom) = -6.669

a = 4.8301 Å, b = 4.8301 Å, c = 4.8555 Å
α = 99.87°, β = 99.87°, γ = 36.08°
Fractional positions:
Ru 0.0000 0.0000 0.0000
Rh 0.2554 0.2554 0.7739
Rh 0.7446 0.7446 0.2261
Pb 0.5000 0.5000 0.5000



5.
This record from Alexandria via LeMat-Bulk describes a relaxed CsTlGaAu2 crystal. The functional is PBE.

- total magnetic moment (μB per atom) = 0.000
- formation energy (eV per formula unit) = -0.3
- E_tot (eV/atom) = -2.630

a = 5.2114 Å, b = 5.2114 Å, c = 5.5593 Å
α = 90.00°, β = 90.00°, γ = 90.00°
Fractional positions:
Cs 0.0000 0.0000 0.0000
Tl 0.5000 0.5000 0.0000
Ga 0.5000 0.5000 0.5000
Au 0.0000 0.5000 0.5000
Au 0.5000 0.0000 0.5000



6.
This record from Alexandria via LeMat-Bulk describes a relaxed NbCd2Bi crystal. The functional is PBE.

- total magnetic moment (μB per atom) = 0.000
- formation energy (eV per formula unit) = 2.0
- E_tot (eV/atom) = -3.438

a = 6.5195 Å, b = 6.5195 Å, c = 6.5195 Å
α = 101.05°, β = 101.05°, γ = 128.07°
Fractional positions:
Nb 0.0000 0.0000 0.0000
Nb 0.7500 0.2500 0.5000
Cd 0.1081 0.6250 0.9831
Cd 0.3750 0.3581 0.4831
Cd 0.6419 0.1250 0.0169
Cd 0.8750 0.8919 0.5169
Bi 0.2500 0.7500 0.5000
Bi 0.5000 0.5000 0.0000



7.
This record from Alexandria via LeMat-Bulk describes a relaxed Rb2BeTlP2 crystal. The functional is PBE.

- total magnetic moment (μB per atom) = 0.000
- formation energy (eV per formula unit) = -0.8
- E_tot (eV/atom) = -3.273

a = 8.9294 Å, b = 8.9294 Å, c = 8.9294 Å
α = 135.12°, β = 62.99°, γ = 138.20°
Fractional positions:
Rb 0.1730 0.2412 0.4141
Rb 0.3270 0.7412 0.0682
Rb 0.6730 0.2588 0.9318
Rb 0.8270 0.7588 0.5859
Be 0.2500 0.2500 0.0000
Be 0.7500 0.7500 0.0000
Tl 0.2500 0.7500 0.5000
Tl 0.7500 0.2500 0.5000
P 0.0786 0.8180 0.8966
P 0.4214 0.3180 0.7394
P 0.5786 0.6820 0.2606
P 0.9214 0.1820 0.1034



8.
This record from Alexandria via LeMat-Bulk describes a relaxed AgH8Rh2 crystal. The functional is PBE.

- total magnetic moment (μB per atom) = 0.000
- E_tot (eV/atom) = -3.932

a = 4.8465 Å, b = 4.8465 Å, c = 3.5686 Å
α = 90.14°, β = 90.14°, γ = 106.30°
Fractional positions:
Ag 0.0000 0.0000 0.0000
H 0.0720 0.3440 0.5025
H 0.2826 0.7174 0.0000
H 0.3440 0.0720 0.5025
H 0.4975 0.4975 0.2604
H 0.5025 0.5025 0.7396
H 0.6560 0.9280 0.4975
H 0.7174 0.2826 0.0000
H 0.9280 0.6560 0.4975
Rh 0.3026 0.6974 0.5000
Rh 0.6974 0.3026 0.5000



9.
This record from Alexandria via LeMat-Bulk describes a relaxed AcScIr2 crystal. The functional is PBE.

- total magnetic moment (μB per atom) = 0.000
- formation energy (eV per formula unit) = -2.4
- ΔE to the lowest computed polymorph (meV per atom) = 0
- E_tot (eV/atom) = -7.634

a = 6.0182 Å, b = 6.0182 Å, c = 6.0182 Å
α = 43.03°, β = 43.03°, γ = 43.03°
Fractional positions:
Ac 0.0000 0.0000 0.0000
Sc 0.5000 0.5000 0.5000
Ir 0.2160 0.2160 0.2160
Ir 0.7840 0.7840 0.7840



10.
This record from Alexandria via LeMat-Bulk describes a relaxed SrBeW2 crystal. The functional is PBE.

- total magnetic moment (μB per atom) = 0.000
- formation energy (eV per formula unit) = 4.2
- E_tot (eV/atom) = -6.788

a = 10.1833 Å, b = 10.1833 Å, c = 10.1833 Å
α = 16.19°, β = 16.19°, γ = 16.19°
Fractional positions:
Sr 0.0000 0.0000 0.0000
Be 0.7549 0.7549 0.7549
W 0.2338 0.2338 0.2338
W 0.4868 0.4868 0.4868



11.
This record from Alexandria via LeMat-Bulk describes a relaxed Sr3SiAs2Pd9 crystal. The functional is PBE.

- total magnetic moment (μB per atom) = 0.000
- raw formation energy (eV per atom) = -0.613
- E_tot (eV/atom) = -5.046

a = 6.5969 Å, b = 6.5969 Å, c = 8.6056 Å
α = 90.00°, β = 90.00°, γ = 120.00°
Fractional positions:
Sr 0.0000 0.0000 0.0000
Sr 0.3333 0.6667 0.6563
Sr 0.6667 0.3333 0.3437
Si 0.0000 0.0000 0.5000
As 0.3333 0.6667 0.1854
As 0.6667 0.3333 0.8146
Pd 0.0000 0.5000 0.0000
Pd 0.1415 0.2831 0.2992
Pd 0.1415 0.8585 0.2992
Pd 0.2831 0.1415 0.7008
Pd 0.5000 0.0000 0.0000
Pd 0.5000 0.5000 0.0000
Pd 0.7169 0.8585 0.2992
Pd 0.8585 0.1415 0.7008
Pd 0.8585 0.7169 0.7008



12.
This record from Alexandria via LeMat-Bulk describes a relaxed Ac2Zn3Au5 crystal. The functional is PBE.

- total magnetic moment (μB per atom) = 0.000
- formation energy (eV per formula unit) = -5.9
- E_tot (eV/atom) = -3.429

a = 9.0105 Å, b = 9.0105 Å, c = 9.0105 Å
α = 105.16°, β = 89.47°, γ = 138.39°
Fractional positions:
Ac 0.1341 0.2259 0.3600
Ac 0.3659 0.7259 0.0918
Ac 0.6341 0.2741 0.9082
Ac 0.8659 0.7741 0.6400
Zn 0.1407 0.8992 0.0400
Zn 0.2500 0.7500 0.5000
Zn 0.3593 0.3992 0.7585
Zn 0.6407 0.6008 0.2415
Zn 0.7500 0.2500 0.5000
Zn 0.8593 0.1008 0.9600
Au 0.0303 0.7500 0.2803
Au 0.0987 0.6680 0.7666
Au 0.2500 0.2500 0.0000
Au 0.4013 0.1680 0.5693
Au 0.4697 0.7500 0.7197
Au 0.5303 0.2500 0.2803
Au 0.5987 0.8320 0.4307
Au 0.7500 0.7500 0.0000
Au 0.9013 0.3320 0.2334
Au 0.9697 0.2500 0.7197



13.
This record from Alexandria via LeMat-Bulk describes a relaxed RbMgBe crystal. The functional is PBE.

- total magnetic moment (μB per atom) = 0.000
- formation energy (eV per formula unit) = 1.0
- ΔE to the lowest computed polymorph (meV per atom) = 0
- E_tot (eV/atom) = -1.755

a = 4.0318 Å, b = 4.0318 Å, c = 13.8560 Å
α = 90.53°, β = 90.53°, γ = 60.31°
Fractional positions:
Rb 0.1714 0.1714 0.3368
Rb 0.8286 0.8286 0.6632
Mg 0.4980 0.4980 0.8990
Mg 0.5020 0.5020 0.1010
Be 0.1659 0.1659 0.9998
Be 0.8341 0.8341 0.0002



14.
This record from Alexandria via LeMat-Bulk describes a relaxed CuSnPb2Se5 crystal. The functional is PBE.

- total magnetic moment (μB per atom) = 0.000
- raw formation energy (eV per atom) = -0.334
- E_tot (eV/atom) = -3.994

a = 9.1887 Å, b = 9.1887 Å, c = 13.5274 Å
α = 90.00°, β = 90.00°, γ = 154.85°
Fractional positions:
Cu 0.0628 0.9372 0.5000
Cu 0.9372 0.0628 0.0000
Sn 0.2785 0.7215 0.1112
Sn 0.7215 0.2785 0.6112
Pb 0.3632 0.6368 0.3964
Pb 0.4277 0.5723 0.7268
Pb 0.5723 0.4277 0.2268
Pb 0.6368 0.3632 0.8964
Se 0.0052 0.9948 0.8493
Se 0.1314 0.8686 0.0642
Se 0.1992 0.8008 0.4715
Se 0.2383 0.7617 0.7511
Se 0.4366 0.5634 0.0991
Se 0.5634 0.4366 0.5991
Se 0.7617 0.2383 0.2511
Se 0.8008 0.1992 0.9715
Se 0.8686 0.1314 0.5642
Se 0.9948 0.0052 0.3493



15.
This record from Alexandria via LeMat-Bulk describes a relaxed Na2NbV crystal. The functional is PBE.

- total magnetic moment (μB per atom) = 0.171
- formation energy (eV per formula unit) = 5.8
- ΔE to the lowest computed polymorph (meV per atom) = 145
- E_tot (eV/atom) = -3.999

a = 5.0035 Å, b = 5.0035 Å, c = 5.0035 Å
α = 60.00°, β = 60.00°, γ = 60.00°
Fractional positions:
Na 0.2500 0.2500 0.2500
Na 0.7500 0.7500 0.7500
Nb 0.0000 0.0000 0.0000
V 0.5000 0.5000 0.5000



16.
This record from Alexandria via LeMat-Bulk describes a relaxed Pm2Sm3Ag2 crystal. The functional is PBE.

- total magnetic moment (μB per atom) = 0.000
- formation energy (eV per formula unit) = -0.8
- ΔE to the lowest computed polymorph (meV per atom) = 0
- E_tot (eV/atom) = -4.316

a = 6.8445 Å, b = 6.8445 Å, c = 9.3838 Å
α = 115.00°, β = 115.00°, γ = 32.26°
Fractional positions:
Pm 0.1476 0.1476 0.3131
Pm 0.8524 0.8524 0.6869
Sm 0.3885 0.3885 0.0529
Sm 0.5000 0.5000 0.5000
Sm 0.6115 0.6115 0.9471
Ag 0.1708 0.1708 0.7280
Ag 0.8292 0.8292 0.2720



17.
This record from Alexandria via LeMat-Bulk describes a relaxed AcTmAuO4 crystal. The functional is PBE.

- total magnetic moment (μB per atom) = 0.131
- raw formation energy (eV per atom) = -2.274
- E_tot (eV/atom) = -6.801

a = 7.3817 Å, b = 7.3817 Å, c = 7.3817 Å
α = 124.00°, β = 111.30°, γ = 94.45°
Fractional positions:
Ac 0.0000 0.0000 0.0000
Ac 0.5000 0.0000 0.5000
Tm 0.5000 0.0000 0.0000
Tm 0.5000 0.5000 0.5000
Au 0.2467 0.4967 0.7500
Au 0.7533 0.5033 0.2500
O 0.2688 0.2310 0.4622
O 0.2688 0.8066 0.0378
O 0.3069 0.2299 0.0770
O 0.3471 0.7701 0.5770
O 0.6529 0.2299 0.4230
O 0.6931 0.7701 0.9230
O 0.7312 0.1934 0.9622
O 0.7312 0.7690 0.5378